MoAuCl | the Alexandria database | PBE | relaxed; size of the total moment = 4.00 μB per formula unit; space-group type = F-43m; crystal system = cubic; calculated volume = 72 Å³ per cell; offset from the most stable computed form = 1054 meV per atom
1.0
4.6796 0.0000 0.0000
2.3398 4.0527 0.0000
2.3398 1.3509 3.8209
Cl Mo Au
1 1 1
Direct
0.0000 0.0000 0.0000
0.5000 0.5000 0.5000
0.7500 0.7500 0.7500

=====

Mo2AuCl | the Alexandria database | PBE | relaxed; size of the total moment = 0.00 μB per formula unit; space-group type = P4mm; crystal system = tetragonal; calculated volume = 76 Å³ per cell; offset from the most stable computed form = 27 meV per atom
1.0
-0.6819 -1.9162 2.0413
2.5539 -1.2867 -0.3547
3.6431 5.4778 6.3589
Mo Cl Au
2 1 1
Direct
0.5000 0.5000 0.2185
0.0000 0.0000 0.0092
0.5000 0.5000 0.8294
0.0000 0.0000 0.4428

=====

no.,E_form (uncorrected) (eV/atom)
1,1.125
2,0.208